# PBE MnSbP2S, optimized geometry
# Polymorph energy (0 for the lowest one) = 0.0000 eV/atom
# DFT total energy = -5.29 eV per atom
# Uncorrected formation energy = 0.353 eV/atom
# V = 93.4 Å³/f.u.
data_MnSbP2S
_cell_length_a 4.2536
_cell_length_b 4.2536
_cell_length_c 5.1647
_cell_angle_alpha 90.00
_cell_angle_beta 90.00
_cell_angle_gamma 90.00
_symmetry_space_group_name_H-M 'P 4/m m m'
_symmetry_Int_Tables_number 123
_symmetry_space_group_name_Hall '-P 4 2'
loop_
_atom_site_label
_atom_site_type_symbol
_atom_site_fract_x
_atom_site_fract_y
_atom_site_fract_z
Mn1 Mn 0.0000 0.0000 0.0000
Sb1 Sb 0.5000 0.5000 0.5000
P1 P 0.0000 0.5000 0.0000
S1 S 0.0000 0.0000 0.5000